VASP calculation (GGA-PBE) on a geometry-optimized LiHfCu2 structure.

Values from the calculation:
**Spin magnetization**: 0.0 Bohr magnetons per cell
**Energy relative to the lowest polymorph listed for this composition**: 0.014 eV per atom

a = 2.887 Å, b = 4.650 Å, c = 4.650 Å
α = 90.00°, β = 90.00°, γ = 90.00°
Positions (direct):
1 Hf 0.500 0.500 0.500
2 Cu 0.000 0.500 0.000
3 Li 0.500 0.000 0.000
4 Cu 0.000 0.000 0.500